A geometry-optimized HfTe2RuN structure, computed with PBE.

Summary:
magnetization: 0.00 Bohr magnetons per cell
offset from the most stable computed form: 0.000 eV/f.u.
DOS(E_F): 0.675 states/eV/atom
crystal system: tetragonal
formation energy (no corrections): 0.252 eV per atom
final energy: -32.58 eV for the cell shown

The structure in CIF format:
```
data_HfTe2RuN
_symmetry_space_group_name_H-M 'P 1'
_symmetry_Int_Tables_number 1
_cell_length_a 5.401
_cell_length_b 5.401
_cell_length_c 3.666
_cell_angle_alpha 90.00
_cell_angle_beta 90.00
_cell_angle_gamma 90.00
loop_
_symmetry_equiv_pos_as_xyz
'x,y,z'
loop_
_atom_site_label
_atom_site_type_symbol
_atom_site_fract_x
_atom_site_fract_y
_atom_site_fract_z
Hf1 Hf 0.500 0.500 0.500
N1 N 0.000 0.000 0.500
Ru1 Ru 0.000 0.000 0.000
Te1 Te 0.500 0.000 0.000
Te2 Te 0.000 0.500 0.000
```